Compound: TaTeAu2
Source: Alexandria
Functional: PBE
Structure: optimized geometry

Cell and atoms, written as extended XYZ:
```
4
Lattice="4.665 0.000 0.000 0.000 4.112 0.000 0.000 0.000 4.112" Properties=species:S:1:pos:R:3 pbc="T T T"
Au 0.000 0.000 0.000
Au 0.000 2.056 2.056
Ta 2.333 2.056 0.000
Te 2.333 0.000 2.056
```

Calculated values
Raw formation energy (eV/atom): 0.370
SG: No. 123
Electronic total energy (eV/atom): -5.0174


Compound: Ta2TeAu
Source: Alexandria
Functional: PBE
Structure: optimized geometry

Cell and atoms, written as extended XYZ:
```
4
Lattice="9.367 0.007 0.004 8.844 3.088 0.004 8.844 1.503 2.697" Properties=species:S:1:pos:R:3 pbc="T T T"
Au 20.291 3.448 2.029
Ta 0.019 0.003 0.002
Ta 13.508 2.296 1.351
Te 6.764 1.149 0.676
```

Calculated values
Raw formation energy (eV/atom): 0.313
SG: No. 166
Electronic total energy (eV/atom): -7.2181


Compound: TaTe2Au
Source: Alexandria
Functional: PBE
Structure: optimized geometry

Cell and atoms, written as extended XYZ:
```
4
Lattice="-8.472 -1.103 -5.578 -7.264 -4.368 -5.679 -9.183 -3.304 -2.975" Properties=species:S:1:pos:R:3 pbc="T T T"
Au -12.188 -4.292 -6.961
Ta -18.870 -6.646 -10.777
Te -0.651 -0.229 -0.372
Te -5.670 -1.997 -3.238
```

Calculated values
Raw formation energy (eV/atom): 0.061
Energy above the lowest structure with this stoichiometry (meV per atom): 130
SG: No. 160
Electronic total energy (eV/atom): -5.2923


Compound: Ta2TeAu
Source: Alexandria
Functional: PBE
Structure: optimized geometry

Cell and atoms, written as extended XYZ:
```
4
Lattice="-7.093 5.595 -1.899 -7.897 4.629 1.198 -5.772 7.168 0.738" Properties=species:S:1:pos:R:3 pbc="T T T"
Au -15.309 12.824 0.028
Ta -20.680 17.323 0.038
Ta -5.290 4.431 0.010
Te -10.627 8.902 0.019
```

Calculated values
Raw formation energy (eV/atom): 0.107
SG: No. 160
Electronic total energy (eV/atom): -7.4239


Compound: TaTe2Au
Source: Alexandria
Functional: PBE
Structure: optimized geometry

Cell and atoms, written as extended XYZ:
```
4
Lattice="-1.232 2.065 4.472 0.934 -2.628 1.471 5.346 1.603 0.732" Properties=species:S:1:pos:R:3 pbc="T T T"
Au 0.954 0.776 2.787
Ta 4.094 0.264 3.888
Te 6.184 -0.887 2.113
Te 3.236 -0.650 1.191
```

Calculated values
Raw formation energy (eV/atom): 0.489
Energy above the lowest structure with this stoichiometry (meV per atom): 558
SG: No. 10
Electronic total energy (eV/atom): -4.8648


Compound: Ta3TeAu
Source: Alexandria
Functional: PBE
Structure: optimized geometry

Cell and atoms, written as extended XYZ:
```
5
Lattice="4.988 0.000 0.000 0.000 4.988 0.000 0.000 0.000 4.988" Properties=species:S:1:pos:R:3 pbc="T T T"
Te 2.494 2.494 2.494
Au 0.000 0.000 0.000
Ta 0.000 2.494 0.000
Ta 0.000 0.000 2.494
Ta 2.494 0.000 0.000
```

Calculated values
Raw formation energy (eV/atom): 1.587
Energy above the lowest structure with this stoichiometry (meV per atom): 0
SG: No. 221
Electronic total energy (eV/atom): -6.8087


Compound: TaTeAu2
Source: Alexandria
Functional: PBE
Structure: optimized geometry

Cell and atoms, written as extended XYZ:
```
4
Lattice="6.301 0.239 -0.002 3.573 5.195 0.002 -4.445 -3.612 2.638" Properties=species:S:1:pos:R:3 pbc="T T T"
Au 9.492 5.224 0.000
Au 5.320 2.928 0.000
Ta 3.397 -0.328 1.318
Te 2.033 2.150 1.320
```

Calculated values
Raw formation energy (eV/atom): 0.273
SG: No. 71
Electronic total energy (eV/atom): -5.1138


Compound: TaTe2Au
Source: Alexandria
Functional: PBE
Structure: optimized geometry

Cell and atoms, written as extended XYZ:
```
4
Lattice="4.927 0.002 0.000 -0.018 4.927 0.000 0.000 0.000 3.557" Properties=species:S:1:pos:R:3 pbc="T T T"
Au 2.464 0.001 1.778
Ta -0.009 2.464 1.778
Te 0.000 0.000 0.000
Te 2.455 2.465 0.000
```

Calculated values
Raw formation energy (eV/atom): 0.423
Energy above the lowest structure with this stoichiometry (meV per atom): 493
SG: No. 65
Electronic total energy (eV/atom): -4.9300